#w
VASP calculation (PBE-GGA) on an optimized crystal structure of LaYAlAg.

```
data_LaYAlAg
_symmetry_space_group_name_H-M 'P 4 m m'
_symmetry_Int_Tables_number 99
_cell_length_a 3.637
_cell_length_b 3.637
_cell_length_c 7.791
_cell_angle_alpha 90.00
_cell_angle_beta 90.00
_cell_angle_gamma 90.00
loop_
_symmetry_equiv_pos_as_xyz
'x,y,z'
'-y,x,z'
'-x,-y,z'
'y,-x,z'
'-x,y,z'
'y,x,z'
'x,-y,z'
'-y,-x,z'
loop_
_atom_site_label
_atom_site_fract_x
_atom_site_fract_y
_atom_site_fract_z
_atom_site_occupancy
La1 0.000 0.000 0.000 1
Y1 0.000 0.000 0.493 1
Al1 0.500 0.500 0.261 1
Ag1 0.500 0.500 0.711 1
```

Calculated values
* M_tot: 0.000 μB per atom
* Fermi-level density of states: 0.951 states/eV per atom

---

#x
VASP calculation (PBE-GGA) on an optimized crystal structure of LaYAlAg.

```
data_LaYAlAg
_symmetry_space_group_name_H-M 'F -4 3 m'
_symmetry_Int_Tables_number 216
_symmetry_space_group_name_Hall 'F -4 2 3'
_cell_length_a 7.500
_cell_length_b 7.500
_cell_length_c 7.500
_cell_angle_alpha 90.00
_cell_angle_beta 90.00
_cell_angle_gamma 90.00
loop_
_atom_site_label
_atom_site_fract_x
_atom_site_fract_y
_atom_site_fract_z
_atom_site_occupancy
La1 0.000 0.000 0.000 1
Y1 0.000 0.000 0.500 1
Al1 0.250 0.250 0.250 1
Ag1 0.250 0.250 0.750 1
```

Calculated values
* M_tot: 0.003 μB per atom
* Fermi-level density of states: 1.015 states/eV per atom

---

Most stable structure, least stable structure: #w, #x.

---

#w
VASP calculation (PBE-GGA) on an optimized crystal structure of Li2AlAg8.

```
data_Li2AlAg8
_symmetry_space_group_name_H-M 'C 1 2/m 1'
_symmetry_Int_Tables_number 12
_cell_length_a 14.516
_cell_length_b 4.354
_cell_length_c 6.086
_cell_angle_alpha 90.00
_cell_angle_beta 102.37
_cell_angle_gamma 90.00
loop_
_symmetry_equiv_pos_as_xyz
'x,y,z'
'-x,-y,-z'
'-x,y,-z'
'x,-y,z'
'x+1/2,y+1/2,z'
'-x+1/2,-y+1/2,-z'
'-x+1/2,y+1/2,-z'
'x+1/2,-y+1/2,z'
loop_
_atom_site_label
_atom_site_fract_x
_atom_site_fract_y
_atom_site_fract_z
_atom_site_occupancy
Li1 0.224 0.000 0.146 1
Al1 0.000 0.500 0.500 1
Ag1 0.045 0.000 0.232 1
Ag2 0.094 0.500 0.947 1
Ag3 0.142 0.000 0.692 1
Ag4 0.178 0.500 0.415 1
```

Calculated values
* M_tot: 0.000 μB per atom
* Fermi-level density of states: 0.257 states/eV per atom

---

#x
VASP calculation (PBE-GGA) on an optimized crystal structure of Li2AlAg8.

```
data_Li2AlAg8
_symmetry_space_group_name_H-M 'I m m m'
_symmetry_Int_Tables_number 71
_symmetry_space_group_name_Hall '-I 2 2'
_cell_length_a 4.466
_cell_length_b 6.950
_cell_length_c 12.304
_cell_angle_alpha 90.00
_cell_angle_beta 90.00
_cell_angle_gamma 90.00
loop_
_atom_site_label
_atom_site_fract_x
_atom_site_fract_y
_atom_site_fract_z
_atom_site_occupancy
Li1 0.000 0.000 0.203 1
Al1 0.000 0.000 0.500 1
Ag1 0.000 0.200 0.000 1
Ag2 0.000 0.288 0.353 1
Ag3 0.000 0.500 0.154 1
```

Calculated values
* M_tot: 0.000 μB per atom
* Fermi-level density of states: 0.359 states/eV per atom

---

Most stable structure, least stable structure: #w, #x.

---

#w
VASP calculation (PBE-GGA) on an optimized crystal structure of Li2Al3Ag3.

```
data_Li2Al3Ag3
_symmetry_space_group_name_H-M 'R 3 2'
_symmetry_Int_Tables_number 155
_symmetry_space_group_name_Hall 'R 3 2"'
_cell_length_a 7.5453
_cell_length_b 7.5453
_cell_length_c 8.1490
_cell_angle_alpha 90.00
_cell_angle_beta 90.00
_cell_angle_gamma 120.00
loop_
_atom_site_label
_atom_site_fract_x
_atom_site_fract_y
_atom_site_fract_z
_atom_site_occupancy
Li1 0.0000 0.0000 0.2094 1
Al1 0.0000 0.7132 0.5000 1
Ag1 0.0000 0.3151 0.0000 1
```

Calculated values
* M_tot: 0.000 μB per atom
* Fermi-level density of states: 0.252 states/eV per atom

---

#x
VASP calculation (PBE-GGA) on an optimized crystal structure of Li2Al3Ag3.

```
data_Li2Al3Ag3
_symmetry_space_group_name_H-M 'C m c m'
_symmetry_Int_Tables_number 63
_symmetry_space_group_name_Hall '-C 2c 2'
_cell_length_a 4.381
_cell_length_b 9.194
_cell_length_c 13.179
_cell_angle_alpha 90.00
_cell_angle_beta 90.00
_cell_angle_gamma 90.00
loop_
_atom_site_label
_atom_site_fract_x
_atom_site_fract_y
_atom_site_fract_z
_atom_site_occupancy
Li1 0.000 0.233 0.129 1
Al1 0.000 0.076 0.585 1
Al2 0.000 0.238 0.750 1
Ag1 0.000 0.374 0.558 1
Ag2 0.000 0.466 0.250 1
```

Calculated values
* M_tot: 0.000 μB per atom
* Fermi-level density of states: 0.317 states/eV per atom

---

Most stable structure, least stable structure: #w, #x.